Below is a geometry-optimized MgCI2 structure, with properties calculated at the PBE level.

```
16
Lattice="5.5568 0.0000 0.0000 0.0000 5.5568 0.0000 0.0000 0.0000 15.1571" Properties=species:S:1:pos:R:3 pbc="T T T"
Mg 0.0000 0.0000 0.0000
Mg 0.0000 2.7784 3.7893
Mg 2.7784 0.0000 11.3678
Mg 2.7784 2.7784 7.5785
C 0.0000 0.0000 7.5785
C 0.0000 2.7784 11.3678
C 2.7784 0.0000 3.7893
C 2.7784 2.7784 0.0000
I 1.1400 1.3892 9.4732
I 1.3892 3.9184 13.2624
I 1.3892 4.4167 5.6839
I 1.6383 1.3892 1.8946
I 3.9184 4.1676 1.8946
I 4.1676 1.1400 5.6839
I 4.1676 1.6383 13.2624
I 4.4167 4.1676 9.4732
```

E_form (uncorrected) in eV per formula unit: 4.6
E above lowest polymorph in eV per atom: 0.0000
SG: I-42d
Final energy in eV/atom: -2.34
Density of states at the Fermi level in states/eV/atom: 0.0595